No. 1
A plane-wave DFT calculation with GGA-PBE was carried out for an optimized crystal structure of ZnTeOs2.

Output
ΔE to the lowest computed polymorph: 0.2871 eV/atom
magnetization: 0.0 μB per formula unit
final energy: -24.1 eV/cell
uncorrected formation energy: 0.70 eV/atom

Cell and atoms, written as CIF:
```
data_ZnTeOs2
_chemical_formula_sum 'Zn1 Te1 Os2'
_symmetry_space_group_name_H-M 'P 1 2/m 1'
_symmetry_Int_Tables_number 10
_cell_length_a 2.928
_cell_length_b 4.375
_cell_length_c 5.583
_cell_angle_alpha 90.00
_cell_angle_beta 101.93
_cell_angle_gamma 90.00
loop_
_symmetry_equiv_pos_as_xyz
'x,y,z'
'-x,-y,-z'
'-x,y,-z'
'x,-y,z'
loop_
_atom_site_label
_atom_site_fract_x
_atom_site_fract_y
_atom_site_fract_z
Zn1 0.000 0.000 0.000
Te1 0.500 0.000 0.500
Os1 0.360 0.500 0.200
```

No. 2
A plane-wave DFT calculation with GGA-PBE was carried out for an optimized crystal structure of ZnTeOs2.

Output
ΔE to the lowest computed polymorph: 0.2114 eV/atom
magnetization: 0.0 μB per formula unit
final energy: -48.8 eV/cell
uncorrected formation energy: 0.62 eV/atom

Cell and atoms, written as CIF:
```
data_ZnTeOs2
_chemical_formula_sum 'Zn2 Te2 Os4'
_symmetry_space_group_name_H-M 'I m m 2'
_symmetry_Int_Tables_number 44
_cell_length_a 2.935
_cell_length_b 4.172
_cell_length_c 11.795
_cell_angle_alpha 90.00
_cell_angle_beta 90.00
_cell_angle_gamma 90.00
loop_
_symmetry_equiv_pos_as_xyz
'x,y,z'
'-x,-y,z'
'-x,y,z'
'x,-y,z'
'x+1/2,y+1/2,z+1/2'
'-x+1/2,-y+1/2,z+1/2'
'-x+1/2,y+1/2,z+1/2'
'x+1/2,-y+1/2,z+1/2'
loop_
_atom_site_label
_atom_site_fract_x
_atom_site_fract_y
_atom_site_fract_z
Zn1 0.000 0.000 0.000
Te1 0.000 0.500 0.235
Os1 0.000 0.000 0.531
Os2 0.000 0.500 0.849
```

No. 3
A plane-wave DFT calculation with GGA-PBE was carried out for an optimized crystal structure of ZnTeOs3.

Output
ΔE to the lowest computed polymorph: 0.3731 eV/atom
magnetization: 0.7 μB per formula unit
final energy: -26.1 eV/cell
uncorrected formation energy: 2.40 eV/atom

Cell and atoms, written as CIF:
```
data_ZnTeOs3
_chemical_formula_sum 'Zn1 Te1 Os3'
_symmetry_space_group_name_H-M 'P m -3 m'
_symmetry_Int_Tables_number 221
_symmetry_space_group_name_Hall '-P 4 2 3'
_cell_length_a 4.801
_cell_length_b 4.801
_cell_length_c 4.801
_cell_angle_alpha 90.00
_cell_angle_beta 90.00
_cell_angle_gamma 90.00
loop_
_atom_site_label
_atom_site_fract_x
_atom_site_fract_y
_atom_site_fract_z
Zn1 0.000 0.000 0.000
Te1 0.500 0.500 0.500
Os1 0.000 0.500 0.500
```

No. 4
A plane-wave DFT calculation with GGA-PBE was carried out for an optimized crystal structure of ZnTeOs3.

Output
ΔE to the lowest computed polymorph: 0.0000 eV/atom
magnetization: 0.0 μB per formula unit
final energy: -28.0 eV/cell
uncorrected formation energy: 2.03 eV/atom

Cell and atoms, written as CIF:
```
data_ZnTeOs3
_chemical_formula_sum 'Zn1 Te1 Os3'
_symmetry_space_group_name_H-M 'P m -3 m'
_symmetry_Int_Tables_number 221
_symmetry_space_group_name_Hall '-P 4 2 3'
_cell_length_a 4.546
_cell_length_b 4.546
_cell_length_c 4.546
_cell_angle_alpha 90.00
_cell_angle_beta 90.00
_cell_angle_gamma 90.00
loop_
_atom_site_label
_atom_site_fract_x
_atom_site_fract_y
_atom_site_fract_z
Zn1 0.000 0.000 0.000
Te1 0.500 0.500 0.500
Os1 0.000 0.000 0.500
```

No. 5
A plane-wave DFT calculation with GGA-PBE was carried out for an optimized crystal structure of ZnTeOs2.

Output
ΔE to the lowest computed polymorph: 0.1594 eV/atom
magnetization: 0.0 μB per formula unit
final energy: -24.6 eV/cell
uncorrected formation energy: 0.57 eV/atom

Cell and atoms, written as CIF:
```
data_ZnTeOs2
_chemical_formula_sum 'Zn1 Te1 Os2'
_symmetry_space_group_name_H-M 'P m m 2'
_symmetry_Int_Tables_number 25
_cell_length_a 2.875
_cell_length_b 3.723
_cell_length_c 7.102
_cell_angle_alpha 90.00
_cell_angle_beta 90.00
_cell_angle_gamma 90.00
loop_
_symmetry_equiv_pos_as_xyz
'x,y,z'
'-x,-y,z'
'-x,y,z'
'x,-y,z'
loop_
_atom_site_label
_atom_site_fract_x
_atom_site_fract_y
_atom_site_fract_z
Zn1 0.000 0.000 0.000
Te1 0.500 0.500 0.606
Os1 0.000 0.000 0.376
Os2 0.500 0.500 0.201
```

No. 6
A plane-wave DFT calculation with GGA-PBE was carried out for an optimized crystal structure of ZnTeOs4.

Output
magnetization: 0.0 μB per formula unit
final energy: -175.2 eV/cell
uncorrected formation energy: 0.92 eV/atom

Cell and atoms, written as CIF:
```
data_ZnTeOs4
_chemical_formula_sum 'Zn4 Te4 Os16'
_symmetry_space_group_name_H-M 'F -4 3 m'
_symmetry_Int_Tables_number 216
_symmetry_space_group_name_Hall 'F -4 2 3'
_cell_length_a 7.431
_cell_length_b 7.431
_cell_length_c 7.431
_cell_angle_alpha 90.00
_cell_angle_beta 90.00
_cell_angle_gamma 90.00
loop_
_atom_site_label
_atom_site_fract_x
_atom_site_fract_y
_atom_site_fract_z
Zn1 0.000 0.000 0.000
Te1 0.250 0.250 0.250
Os1 0.125 0.125 0.625
```